DFT (PBE) results for a relaxed YHg2Pd2 crystal.

Values from the calculation:
DFT formation energy: -0.4409 eV per atom
total DFT energy (no corrections): -39.2 eV per cell
magnetization: 0.00 μB/cell

Unit cell a=7.3340 b=7.3340 c=3.8419 alpha=90.00 beta=90.00 gamma=90.00
Sites, in units of the cell vectors:
Hg 0.6639 0.1639 0.5000
Hg 0.1639 0.3361 0.5000
Hg 0.8361 0.6639 0.5000
Hg 0.3361 0.8361 0.5000
Pd 0.3663 0.1337 0.0000
Pd 0.8663 0.3663 0.0000
Pd 0.1337 0.6337 0.0000
Pd 0.6337 0.8663 0.0000
Y 0.0000 0.0000 0.0000
Y 0.5000 0.5000 0.0000